SiTeIN2: relaxed, GGA-PBE.

Values from the calculation:
- ρ (Mg/m³) = 4.17
- energy relative to the elements, uncorrected (eV per atom) = 1.8860
- D(E_F) (states/eV per cell) = 3.39
- SG = P4/mmm (123)

Cell lengths 3.988, 3.988, 7.774 Å; angles 90.00, 90.00, 90.00 degrees
Site moments in Bohr magnetons follow the coordinates.
Fractional positions:
I (0.000, 0.000, 0.000)  0.00
Si (0.500, 0.500, 0.500)  0.09
Te (0.000, 0.000, 0.500)  0.01
N (0.000, 0.500, 0.000)  0.01
N (0.500, 0.000, 0.000)  0.01